GGA-PBE Y2BF, relaxed; raw formation energy = -110 kJ/mol of atoms; V = 169.75 Å³ per cell; crystal system = tetragonal; DOS at the Fermi energy = 0.78 states/eV/f.u.; final energy = -6.51 eV per atom; space-group type = I-42d, No. 122
1.0
5.2657 0.0000 0.0000
0.0000 5.2657 0.0000
2.6329 2.6329 6.1221
F B Y
2 2 4
Direct
0.0000 0.0000 0.0000
0.7500 0.2500 0.5000
0.5000 0.5000 0.0000
0.2500 0.7500 0.5000
0.8750 0.8771 0.7500
0.6271 0.1250 0.2500
0.1229 0.6250 0.2500
0.3750 0.3729 0.7500